Entry 1:
Computed, not measured: a relaxed structure of Li3PrAg9 at the PBE level of DFT.

a b c (Å): 5.2785 7.1629 7.2486
angles (deg): 82.74 68.65 69.68
Atoms (fractional coordinates):
Li (0.5000, 0.5000, 0.0000)
Li (0.0000, 0.0000, 0.5000)
Li (0.5000, 0.0000, 0.5000)
Pr (0.0000, 0.0000, 0.0000)
Ag (0.7097, 0.7863, 0.7774)
Ag (0.2903, 0.2137, 0.2226)
Ag (0.5129, 0.2137, 0.7774)
Ag (0.4871, 0.7863, 0.2226)
Ag (0.6543, 0.3461, 0.3557)
Ag (0.3457, 0.6539, 0.6443)
Ag (0.9900, 0.6539, 0.3557)
Ag (0.0100, 0.3461, 0.6443)
Ag (0.0000, 0.5000, 0.0000)

Magnetization   0.00 μB per formula unit
DFT formation energy   -159.2 meV per atom
Calculated total energy   -2.942 eV per atom

Entry 2:
Computed, not measured: a relaxed structure of Cd4SnS6 at the PBE level of DFT.

a b c (Å): 7.4078 7.3509 12.8031
angles (deg): 73.01 73.18 59.74
Atoms (fractional coordinates):
Cd (0.2916, 0.9814, 0.6504)
Cd (0.0766, 0.4814, 0.1504)
Cd (0.7723, 0.2149, 0.4595)
Cd (0.5533, 0.7149, 0.9595)
Cd (0.9203, 0.6721, 0.6503)
Cd (0.7573, 0.1721, 0.1503)
Cd (0.6871, 0.2372, 0.8051)
Cd (0.2706, 0.7372, 0.3051)
Sn (0.6812, 0.7821, 0.3959)
Sn (0.1407, 0.2821, 0.8959)
S (0.4046, 0.5281, 0.1433)
S (0.9240, 0.0281, 0.6433)
S (0.4682, 0.5991, 0.4725)
S (0.4603, 0.0991, 0.9725)
S (0.4776, 0.1149, 0.4596)
S (0.9479, 0.6149, 0.9596)
S (0.9493, 0.0794, 0.9522)
S (0.0192, 0.5794, 0.4522)
S (0.0087, 0.1517, 0.2653)
S (0.5744, 0.6517, 0.7653)
S (0.2578, 0.3253, 0.7002)
S (0.7167, 0.8253, 0.2002)

Magnetization   0.00 μB per formula unit
Calculated total energy   -3.452 eV per atom
Formation energy (no corrections)   -0.5041 eV/atom

Entry 3:
Computed, not measured: a relaxed structure of Ba2LiCuBr6 at the PBE level of DFT.

a b c (Å): 9.1140 7.7353 8.0811
angles (deg): 63.06 54.64 99.01
Atoms (fractional coordinates):
Ba (0.8381, 0.2565, 0.4647)
Ba (0.1619, 0.7435, 0.5353)
Li (0.0000, 0.0000, 0.0000)
Cu (0.5000, 0.5000, 0.0000)
Br (0.2019, 0.2134, 0.4629)
Br (0.7939, 0.6165, 0.1231)
Br (0.2889, 0.8299, 0.0162)
Br (0.7111, 0.1701, 0.9838)
Br (0.2061, 0.3835, 0.8769)
Br (0.7981, 0.7866, 0.5371)

Magnetization   0.00 μB per formula unit
Calculated total energy   -3.602 eV per atom
Formation energy (no corrections)   -1.6131 eV/atom

Entry 4:
Computed, not measured: a relaxed structure of Pm8Al2Bi at the PBE level of DFT.

a b c (Å): 5.0020 8.0868 9.0822
angles (deg): 109.27 105.98 90.00
Atoms (fractional coordinates):
Pm (0.3950, 0.5412, 0.7901)
Pm (0.6761, 0.9287, 0.3522)
Pm (0.8334, 0.7553, 0.6668)
Pm (0.9550, 0.2658, 0.9101)
Pm (0.1666, 0.2447, 0.3332)
Pm (0.3239, 0.0713, 0.6478)
Pm (0.6050, 0.4588, 0.2099)
Pm (0.0450, 0.7342, 0.0899)
Al (0.7855, 0.3298, 0.5711)
Al (0.2145, 0.6702, 0.4289)
Bi (0.5000, 0.0000, 0.0000)

Magnetization   0.00 μB per formula unit
DFT formation energy   -259.3 meV per atom
Calculated total energy   -4.748 eV per atom